Compound: SrIrSe2
Source: the Alexandria database
Functional: GGA-PBE
Structure: optimized geometry

Cell: 3.820 3.820 6.281 Å, 90.00 90.00 90.00°
Fractional positions:
Sr1 0.000 0.000 0.000
Ir1 0.500 0.500 0.413
Se1 0.000 0.000 0.476
Se2 0.500 0.500 0.814

Energy above the most stable polymorph in this dataset (meV/atom): 376
SG: P4mm
Energy relative to the elements, uncorrected (eV/atom): -0.4240
VASP energy (eV/atom): -4.8019

Compound: SrIrSe2
Source: the Alexandria database
Functional: GGA-PBE
Structure: optimized geometry

Cell: 8.719 8.719 8.719 Å, 25.94 25.94 25.94°
Fractional positions:
Sr1 0.000 0.000 0.000
Ir1 0.500 0.500 0.500
Se1 0.120 0.120 0.120
Se2 0.880 0.880 0.880

Energy above the most stable polymorph in this dataset (meV/atom): 404
SG: R-3m
Energy relative to the elements, uncorrected (eV/atom): -0.3952
VASP energy (eV/atom): -4.7731

Compound: SrIrSe3
Source: the Alexandria database
Functional: GGA-PBE
Structure: optimized geometry

Cell: 5.016 5.016 5.016 Å, 90.00 90.00 90.00°
Fractional positions:
Sr1 0.000 0.000 0.000
Ir1 0.500 0.500 0.500
Se1 0.000 0.500 0.500
Se2 0.500 0.000 0.500
Se3 0.500 0.500 0.000

SG: Pm-3m
Energy relative to the elements, uncorrected (eV/atom): -0.4452
VASP energy (eV/atom): -4.6445

Compound: SrIrSe2
Source: the Alexandria database
Functional: GGA-PBE
Structure: optimized geometry

Cell: 4.795 4.795 4.795 Å, 70.44 70.44 70.44°
Fractional positions:
Sr1 0.000 0.000 0.000
Ir1 0.500 0.500 0.500
Se1 0.280 0.280 0.280
Se2 0.720 0.720 0.720

Energy above the most stable polymorph in this dataset (meV/atom): 388
SG: R-3m
Energy relative to the elements, uncorrected (eV/atom): -0.4116
VASP energy (eV/atom): -4.7896

Compound: SrIrSe2
Source: the Alexandria database
Functional: GGA-PBE
Structure: optimized geometry

Cell: 5.460 5.460 5.523 Å, 110.64 110.64 41.35°
Fractional positions:
Sr1 0.000 0.000 0.000
Ir1 0.758 0.758 0.420
Se1 0.179 0.179 0.615
Se2 0.348 0.348 0.255

Energy above the most stable polymorph in this dataset (meV/atom): 43
SG: Cm
Energy relative to the elements, uncorrected (eV/atom): -0.7569
VASP energy (eV/atom): -5.1349

Compound: Sr2IrSe2
Source: the Alexandria database
Functional: GGA-PBE
Structure: optimized geometry

Cell: 9.128 9.128 9.128 Å, 155.33 155.33 35.18°
Fractional positions:
Sr1 0.100 0.100 0.000
Sr2 0.900 0.900 0.000
Ir1 0.500 0.500 0.000
Se1 0.250 0.750 0.500
Se2 0.750 0.250 0.500

Energy above the most stable polymorph in this dataset (meV/atom): 0
SG: I4/mmm
Energy relative to the elements, uncorrected (eV/atom): -0.4344
VASP energy (eV/atom): -4.2731

Compound: SrIrSe2
Source: the Alexandria database
Functional: GGA-PBE
Structure: optimized geometry

Cell: 4.916 4.916 4.916 Å, 60.00 60.00 60.00°
Fractional positions:
Sr1 0.000 0.000 0.000
Ir1 0.500 0.500 0.500
Se1 0.250 0.250 0.250
Se2 0.750 0.750 0.750

Energy above the most stable polymorph in this dataset (meV/atom): 575
SG: Fm-3m
Energy relative to the elements, uncorrected (eV/atom): -0.2248
VASP energy (eV/atom): -4.6027

Compound: SrIrSe
Source: the Alexandria database
Functional: GGA-PBE
Structure: optimized geometry

Cell: 11.473 3.600 3.600 Å, 71.93 90.00 90.00°
Fractional positions:
Sr1 0.171 0.000 0.000
Sr2 0.829 0.000 0.000
Ir1 0.000 0.467 0.467
Ir2 0.500 0.978 0.978
Se1 0.376 0.605 0.605
Se2 0.624 0.605 0.605

Energy above the most stable polymorph in this dataset (meV/atom): 621
SG: Amm2
Energy relative to the elements, uncorrected (eV/atom): -0.0811
VASP energy (eV/atom): -4.7569

Question: The lowest energy relative to the elements, uncorrected belongs to which entry?
Answer: number 5